## KNbClO3 (GGA-PBE)

Data for a relaxed KNbClO3 crystal.

a b c (Å): 8.294 8.294 5.594
angles (deg): 91.52 91.52 135.37
Sites, in units of the cell vectors:
K 0.219 0.781 0.750
K 0.781 0.219 0.250
Nb 0.040 0.960 0.250
Nb 0.960 0.040 0.750
Cl 0.315 0.685 0.250
Cl 0.685 0.315 0.750
O 0.161 0.214 0.466
O 0.161 0.839 0.250
O 0.214 0.161 0.966
O 0.786 0.839 0.034
O 0.839 0.161 0.750
O 0.839 0.786 0.534

Calculated values
SG: C2/c (15)
Raw total energy, eV per atom: -6.452



## K3Nb2Cl2O5 (GGA-PBE)

Data for a relaxed K3Nb2Cl2O5 crystal.

a b c (Å): 12.621 12.621 12.621
angles (deg): 161.34 161.34 26.51
Sites, in units of the cell vectors:
K 0.000 0.000 0.000
K 0.169 0.169 0.000
K 0.831 0.831 0.000
Nb 0.420 0.420 0.000
Nb 0.580 0.580 0.000
Cl 0.310 0.310 0.000
Cl 0.690 0.690 0.000
O 0.084 0.584 0.500
O 0.416 0.916 0.500
O 0.500 0.500 0.000
O 0.584 0.084 0.500
O 0.916 0.416 0.500

Calculated values
SG: I4/mmm (139)
Raw total energy, eV per atom: -6.538



## KNb2ClO (GGA-PBE)

Data for a relaxed KNb2ClO crystal.

a b c (Å): 4.532 4.532 5.929
angles (deg): 90.00 90.00 90.00
Sites, in units of the cell vectors:
K 0.000 0.000 0.000
Nb 0.000 0.500 0.500
Nb 0.500 0.000 0.500
Cl 0.000 0.000 0.500
O 0.500 0.500 0.000

Calculated values
SG: P4/mmm (123)
Raw total energy, eV per atom: -4.640



## K2Nb3Cl7O5 (GGA-PBE)

Data for a relaxed K2Nb3Cl7O5 crystal.

a b c (Å): 9.696 9.696 11.337
angles (deg): 110.39 110.39 55.28
Sites, in units of the cell vectors:
K 0.162 0.236 0.357
K 0.236 0.162 0.857
K 0.764 0.838 0.143
K 0.838 0.764 0.643
Nb 0.210 0.786 0.027
Nb 0.214 0.790 0.473
Nb 0.463 0.537 0.750
Nb 0.537 0.463 0.250
Nb 0.786 0.210 0.527
Nb 0.790 0.214 0.973
Cl 0.051 0.638 0.953
Cl 0.060 0.635 0.365
Cl 0.085 0.915 0.250
Cl 0.272 0.426 0.659
Cl 0.362 0.949 0.547
Cl 0.365 0.940 0.135
Cl 0.426 0.272 0.159
Cl 0.574 0.728 0.841
Cl 0.635 0.060 0.865
Cl 0.638 0.051 0.453
Cl 0.728 0.574 0.341
Cl 0.915 0.085 0.750
Cl 0.940 0.365 0.635
Cl 0.949 0.362 0.047
O 0.000 0.000 0.000
O 0.000 0.000 0.500
O 0.285 0.710 0.879
O 0.290 0.715 0.621
O 0.396 0.601 0.127
O 0.399 0.604 0.373
O 0.601 0.396 0.627
O 0.604 0.399 0.873
O 0.710 0.285 0.379
O 0.715 0.290 0.121

Calculated values
SG: C2/c (15)
Raw total energy, eV per atom: -6.123



## KNbPCl2 (GGA-PBE)

Data for a relaxed KNbPCl2 crystal.

a b c (Å): 5.080 5.080 4.855
angles (deg): 90.00 90.00 90.00
Sites, in units of the cell vectors:
K 0.000 0.000 0.000
Nb 0.500 0.500 0.500
P 0.500 0.500 0.000
Cl 0.000 0.500 0.500
Cl 0.500 0.000 0.500

Calculated values
SG: P4/mmm (123)
Raw total energy, eV per atom: -4.890
Polymorph energy (0 for the lowest one), eV per formula unit: 0.00



## KNbPCl2 (GGA-PBE)

Data for a relaxed KNbPCl2 crystal.

a b c (Å): 5.361 5.361 5.756
angles (deg): 90.00 90.00 90.00
Sites, in units of the cell vectors:
K 0.000 0.000 0.000
Nb 0.500 0.500 0.500
P 0.000 0.000 0.500
Cl 0.000 0.500 0.000
Cl 0.500 0.000 0.000

Calculated values
SG: P4/mmm (123)
Raw total energy, eV per atom: -3.160
Polymorph energy (0 for the lowest one), eV per formula unit: 8.65



## K2RbNbCl8 (GGA-PBE)

Data for a relaxed K2RbNbCl8 crystal.

a b c (Å): 5.726 7.805 9.829
angles (deg): 89.24 84.90 73.64
Sites, in units of the cell vectors:
K 0.133 0.497 0.279
K 0.867 0.503 0.721
Rb 0.500 0.000 0.500
Nb 0.500 0.000 0.000
Cl 0.071 0.734 0.525
Cl 0.158 0.258 0.982
Cl 0.281 0.889 0.180
Cl 0.356 0.842 0.835
Cl 0.644 0.158 0.165
Cl 0.719 0.111 0.820
Cl 0.842 0.742 0.018
Cl 0.929 0.266 0.475

Calculated values
SG: P-1 (2)
Raw total energy, eV per atom: -3.885



## KRb2NbCl (GGA-PBE)

Data for a relaxed KRb2NbCl crystal.

a b c (Å): 6.926 6.926 5.038
angles (deg): 90.00 90.00 90.00
Sites, in units of the cell vectors:
K 0.000 0.000 0.000
Rb 0.000 0.500 0.500
Rb 0.500 0.000 0.500
Nb 0.500 0.500 0.000
Cl 0.500 0.500 0.500

Calculated values
SG: P4/mmm (123)
Raw total energy, eV per atom: -2.753



## KRb2NbCl8 (GGA-PBE)

Data for a relaxed KRb2NbCl8 crystal.

a b c (Å): 6.934 7.239 9.741
angles (deg): 89.97 89.87 88.42
Sites, in units of the cell vectors:
K 0.000 0.000 0.000
Rb 0.499 0.501 0.238
Rb 0.501 0.499 0.762
Nb 0.000 0.000 0.500
Cl 0.140 0.184 0.325
Cl 0.140 0.187 0.673
Cl 0.281 0.801 0.501
Cl 0.317 0.726 0.999
Cl 0.683 0.274 0.001
Cl 0.719 0.199 0.499
Cl 0.860 0.813 0.327
Cl 0.860 0.816 0.675

Calculated values
SG: P-1 (2)
Raw total energy, eV per atom: -3.875



## KNbS2Cl (GGA-PBE)

Data for a relaxed KNbS2Cl crystal.

a b c (Å): 4.704 4.704 10.504
angles (deg): 90.00 90.00 90.00
Sites, in units of the cell vectors:
K 0.000 0.000 0.000
Nb 0.000 0.000 0.500
S 0.000 0.500 0.500
S 0.500 0.000 0.500
Cl 0.500 0.500 0.000

Calculated values
SG: P4/mmm (123)
Raw total energy, eV per atom: -4.928
Polymorph energy (0 for the lowest one), eV per formula unit: 2.03



## KNbS2Cl (GGA-PBE)

Data for a relaxed KNbS2Cl crystal.

a b c (Å): 4.848 4.848 5.109
angles (deg): 90.00 90.00 90.00
Sites, in units of the cell vectors:
K 0.000 0.000 0.000
Nb 0.500 0.500 0.500
S 0.000 0.500 0.500
S 0.500 0.000 0.500
Cl 0.500 0.500 0.000

Calculated values
SG: P4/mmm (123)
Raw total energy, eV per atom: -5.335
Polymorph energy (0 for the lowest one), eV per formula unit: 0.00



## KNbS2Cl (GGA-PBE)

Data for a relaxed KNbS2Cl crystal.

a b c (Å): 5.333 5.333 5.217
angles (deg): 90.00 90.00 90.00
Sites, in units of the cell vectors:
K 0.000 0.000 0.000
Nb 0.500 0.500 0.500
S 0.000 0.500 0.000
S 0.500 0.000 0.000
Cl 0.000 0.000 0.500

Calculated values
SG: P4/mmm (123)
Raw total energy, eV per atom: -3.184
Polymorph energy (0 for the lowest one), eV per formula unit: 10.75



## KNbSCl2 (GGA-PBE)

Data for a relaxed KNbSCl2 crystal.

a b c (Å): 5.160 5.160 4.800
angles (deg): 90.00 90.00 90.00
Sites, in units of the cell vectors:
K 0.000 0.000 0.000
Nb 0.500 0.500 0.500
S 0.500 0.500 0.000
Cl 0.000 0.500 0.500
Cl 0.500 0.000 0.500

Calculated values
SG: P4/mmm (123)
Raw total energy, eV per atom: -4.942
Polymorph energy (0 for the lowest one), eV per formula unit: 0.00



## KNbSCl2 (GGA-PBE)

Data for a relaxed KNbSCl2 crystal.

a b c (Å): 5.325 5.325 5.519
angles (deg): 90.00 90.00 90.00
Sites, in units of the cell vectors:
K 0.000 0.000 0.000
Nb 0.500 0.500 0.500
S 0.000 0.000 0.500
Cl 0.000 0.500 0.000
Cl 0.500 0.000 0.000

Calculated values
SG: P4/mmm (123)
Raw total energy, eV per atom: -3.174
Polymorph energy (0 for the lowest one), eV per formula unit: 8.84



## K2SrNb6Cl18 (GGA-PBE)

Data for a relaxed K2SrNb6Cl18 crystal.

a b c (Å): 10.401 10.401 10.401
angles (deg): 54.64 54.64 54.64
Sites, in units of the cell vectors:
K 0.222 0.222 0.222
K 0.778 0.778 0.778
Sr 0.500 0.500 0.500
Nb 0.075 0.854 0.207
Nb 0.146 0.793 0.925
Nb 0.207 0.075 0.854
Nb 0.793 0.925 0.146
Nb 0.854 0.207 0.075
Nb 0.925 0.146 0.793
Cl 0.073 0.331 0.918
Cl 0.082 0.927 0.669
Cl 0.156 0.259 0.586
Cl 0.163 0.674 0.474
Cl 0.259 0.586 0.156
Cl 0.326 0.526 0.837
Cl 0.331 0.918 0.073
Cl 0.414 0.844 0.741
Cl 0.474 0.163 0.674
Cl 0.526 0.837 0.326
Cl 0.586 0.156 0.259
Cl 0.669 0.082 0.927
Cl 0.674 0.474 0.163
Cl 0.741 0.414 0.844
Cl 0.837 0.326 0.526
Cl 0.844 0.741 0.414
Cl 0.918 0.073 0.331
Cl 0.927 0.669 0.082

Calculated values
SG: R-3 (148)
Raw total energy, eV per atom: -5.133



## K2NbTeCl (GGA-PBE)

Data for a relaxed K2NbTeCl crystal.

a b c (Å): 6.699 6.699 4.731
angles (deg): 90.00 90.00 90.00
Sites, in units of the cell vectors:
K 0.000 0.500 0.000
K 0.500 0.000 0.000
Nb 0.000 0.000 0.000
Te 0.500 0.500 0.500
Cl 0.000 0.000 0.500

Calculated values
SG: P4/mmm (123)
Raw total energy, eV per atom: -3.349



## K2NbTlCl8 (GGA-PBE)

Data for a relaxed K2NbTlCl8 crystal.

a b c (Å): 6.599 7.191 9.347
angles (deg): 90.16 90.02 90.22
Sites, in units of the cell vectors:
K 0.003 0.002 0.238
K 0.997 0.998 0.762
Nb 0.500 0.500 0.500
Tl 0.500 0.500 0.000
Cl 0.207 0.195 0.998
Cl 0.281 0.233 0.501
Cl 0.296 0.638 0.318
Cl 0.298 0.640 0.682
Cl 0.702 0.360 0.318
Cl 0.704 0.362 0.682
Cl 0.719 0.767 0.499
Cl 0.793 0.805 0.002

Calculated values
SG: P-1 (2)
Raw total energy, eV per atom: -3.847



## KYNb6Cl18 (GGA-PBE)

Data for a relaxed KYNb6Cl18 crystal.

a b c (Å): 10.221 10.221 10.221
angles (deg): 55.81 55.81 55.81
Sites, in units of the cell vectors:
K 0.000 0.000 0.000
Y 0.723 0.723 0.723
Nb 0.025 0.132 0.370
Nb 0.073 0.418 0.313
Nb 0.132 0.370 0.025
Nb 0.313 0.073 0.418
Nb 0.370 0.025 0.132
Nb 0.418 0.313 0.073
Cl 0.016 0.560 0.767
Cl 0.094 0.943 0.631
Cl 0.154 0.279 0.561
Cl 0.164 0.883 0.290
Cl 0.279 0.561 0.154
Cl 0.290 0.164 0.883
Cl 0.350 0.500 0.814
Cl 0.423 0.882 0.682
Cl 0.500 0.814 0.350
Cl 0.560 0.767 0.016
Cl 0.561 0.154 0.279
Cl 0.631 0.094 0.943
Cl 0.682 0.423 0.882
Cl 0.767 0.016 0.560
Cl 0.814 0.350 0.500
Cl 0.882 0.682 0.423
Cl 0.883 0.290 0.164
Cl 0.943 0.631 0.094

Calculated values
SG: R3 (146)
Raw total energy, eV per atom: -5.385



## KNdCl2 (GGA-PBE)

Data for a relaxed KNdCl2 crystal.

a b c (Å): 10.357 10.357 10.357
angles (deg): 21.28 21.28 21.28
Sites, in units of the cell vectors:
K 0.000 0.000 0.000
Nd 0.500 0.500 0.500
Cl 0.103 0.103 0.103
Cl 0.897 0.897 0.897

Calculated values
SG: R-3m (166)
Raw total energy, eV per atom: -3.840



Number 1: formation energy without anion corrections -10.82 eV/f.u.. Number 2: formation energy without anion corrections -26.53 eV/f.u.. Number 3: formation energy without anion corrections 4.84 eV/f.u.. Number 4: formation energy without anion corrections -33.98 eV/f.u.. Number 5: formation energy without anion corrections -4.18 eV/f.u.. Number 6: formation energy without anion corrections 4.47 eV/f.u.. Number 7: formation energy without anion corrections -18.61 eV/f.u.. Number 8: formation energy without anion corrections 1.18 eV/f.u.. Number 9: formation energy without anion corrections -18.62 eV/f.u.. Number 10: formation energy without anion corrections -3.37 eV/f.u.. Number 11: formation energy without anion corrections -5.40 eV/f.u.. Number 12: formation energy without anion corrections 5.35 eV/f.u.. Number 13: formation energy without anion corrections -5.72 eV/f.u.. Number 14: formation energy without anion corrections 3.12 eV/f.u.. Number 15: formation energy without anion corrections -41.07 eV/f.u.. Number 16: formation energy without anion corrections 0.51 eV/f.u.. Number 17: formation energy without anion corrections -16.76 eV/f.u.. Number 18: formation energy without anion corrections -38.78 eV/f.u.. Number 19: formation energy without anion corrections -5.80 eV/f.u..